Entry 1:
# Ti4Zn2Mo3 PBE relaxed
data_Ti4Zn2Mo3
_space_group_name_H-M_alt 'P -3 m 1'
_space_group_IT_number 164
_space_group_name_Hall '-P 3 2"'
_cell_length_a 4.4272
_cell_length_b 4.4272
_cell_length_c 8.3668
_cell_angle_alpha 90.00
_cell_angle_beta 90.00
_cell_angle_gamma 120.00
loop_
_atom_site_label
_atom_site_fract_x
_atom_site_fract_y
_atom_site_fract_z
Ti1 0.0000 0.0000 0.1708
Ti2 0.3333 0.6667 0.6029
Zn1 0.3333 0.6667 0.2753
Mo1 0.0000 0.0000 0.5000
Mo2 0.3333 0.6667 0.9465
# - Energy relative to the elements: -0.09 eV/atom

---

Entry 2:
# Pr2As3Pd4Pb PBE relaxed
data_Pr2As3Pd4Pb
_space_group_name_H-M_alt 'P -4 m 2'
_space_group_IT_number 115
_cell_length_a 4.3100
_cell_length_b 4.3100
_cell_length_c 11.2039
_cell_angle_alpha 90.00
_cell_angle_beta 90.00
_cell_angle_gamma 90.00
loop_
_space_group_symop_operation_xyz
'x,y,z'
'y,-x,-z'
'-x,-y,z'
'-y,x,-z'
'-x,y,z'
'-y,-x,-z'
'x,-y,z'
'y,x,-z'
loop_
_atom_site_label
_atom_site_fract_x
_atom_site_fract_y
_atom_site_fract_z
Pr1 0.0000 0.5000 0.2266
As1 0.0000 0.5000 0.8720
As2 0.5000 0.5000 0.5000
Pd1 0.0000 0.0000 0.0000
Pd2 0.0000 0.5000 0.6543
Pd3 0.5000 0.5000 0.0000
Pb1 0.0000 0.0000 0.5000
# - Energy relative to the elements: -0.78 eV/atom

---

Entry 3:
# CrIn2Ru PBE relaxed
data_CrIn2Ru
_space_group_name_H-M_alt 'P 4/m m m'
_space_group_IT_number 123
_space_group_name_Hall '-P 4 2'
_cell_length_a 3.3276
_cell_length_b 3.3276
_cell_length_c 6.4013
_cell_angle_alpha 90.00
_cell_angle_beta 90.00
_cell_angle_gamma 90.00
loop_
_atom_site_label
_atom_site_fract_x
_atom_site_fract_y
_atom_site_fract_z
Cr1 0.0000 0.0000 0.0000
In1 0.5000 0.5000 0.2610
Ru1 0.0000 0.0000 0.5000
# - Energy relative to the elements: 0.22 eV/atom
# - Relative energy among the computed polymorphs: 70 meV per atom

---

Entry 4:
# PmNdY2 PBE relaxed
data_PmNdY2
_space_group_name_H-M_alt 'P 4/m m m'
_space_group_IT_number 123
_space_group_name_Hall '-P 4 2'
_cell_length_a 5.1362
_cell_length_b 5.1362
_cell_length_c 5.0765
_cell_angle_alpha 90.00
_cell_angle_beta 90.00
_cell_angle_gamma 90.00
loop_
_atom_site_label
_atom_site_fract_x
_atom_site_fract_y
_atom_site_fract_z
Pm1 0.0000 0.0000 0.0000
Nd1 0.5000 0.5000 0.0000
Y1 0.0000 0.5000 0.5000
# - Energy relative to the elements: 0.02 eV/atom
# - Relative energy among the computed polymorphs: 9 meV per atom

---

Entry 5:
# ScTi4Os5 PBE relaxed
data_ScTi4Os5
_space_group_name_H-M_alt 'P 4/m m m'
_space_group_IT_number 123
_space_group_name_Hall '-P 4 2'
_cell_length_a 3.1065
_cell_length_b 3.1065
_cell_length_c 15.6960
_cell_angle_alpha 90.00
_cell_angle_beta 90.00
_cell_angle_gamma 90.00
loop_
_atom_site_label
_atom_site_fract_x
_atom_site_fract_y
_atom_site_fract_z
Sc1 0.0000 0.0000 0.0000
Ti1 0.0000 0.0000 0.2026
Ti2 0.0000 0.0000 0.4010
Os1 0.5000 0.5000 0.1103
Os2 0.5000 0.5000 0.3047
Os3 0.5000 0.5000 0.5000
# - Energy relative to the elements: -0.66 eV/atom

---

Entry 6:
# LaGa2IO8 PBE relaxed
data_LaGa2IO8
_space_group_name_H-M_alt 'C 1 2/m 1'
_space_group_IT_number 12
_cell_length_a 7.3442
_cell_length_b 6.2167
_cell_length_c 6.9874
_cell_angle_alpha 90.00
_cell_angle_beta 101.41
_cell_angle_gamma 90.00
loop_
_space_group_symop_operation_xyz
'x,y,z'
'-x,-y,-z'
'-x,y,-z'
'x,-y,z'
'x+1/2,y+1/2,z'
'-x+1/2,-y+1/2,-z'
'-x+1/2,y+1/2,-z'
'x+1/2,-y+1/2,z'
loop_
_atom_site_label
_atom_site_fract_x
_atom_site_fract_y
_atom_site_fract_z
La1 0.0000 0.0000 0.0000
Ga1 0.0550 0.5000 0.2208
I1 0.0000 0.0000 0.5000
O1 0.0152 0.2090 0.7082
O2 0.1699 0.5000 0.9970
O3 0.2419 0.5000 0.4632
# - E_form (uncorrected): -17.77 eV per formula unit

---

Entry 7:
# LiYAu PBE relaxed
data_LiYAu
_space_group_name_H-M_alt 'F -4 3 m'
_space_group_IT_number 216
_space_group_name_Hall 'F -4 2 3'
_cell_length_a 6.7395
_cell_length_b 6.7395
_cell_length_c 6.7395
_cell_angle_alpha 90.00
_cell_angle_beta 90.00
_cell_angle_gamma 90.00
loop_
_atom_site_label
_atom_site_fract_x
_atom_site_fract_y
_atom_site_fract_z
Li1 0.0000 0.0000 0.0000
Y1 0.2500 0.2500 0.2500
Au1 0.0000 0.0000 0.5000
# - Energy relative to the elements: -0.07 eV/atom
# - Relative energy among the computed polymorphs: 530 meV per atom

---

Entry 8:
# Sm2HoMg PBE relaxed
data_Sm2HoMg
_space_group_name_H-M_alt 'F m -3 m'
_space_group_IT_number 225
_space_group_name_Hall '-F 4 2 3'
_cell_length_a 7.8625
_cell_length_b 7.8625
_cell_length_c 7.8625
_cell_angle_alpha 90.00
_cell_angle_beta 90.00
_cell_angle_gamma 90.00
loop_
_atom_site_label
_atom_site_fract_x
_atom_site_fract_y
_atom_site_fract_z
Sm1 0.2500 0.2500 0.2500
Ho1 0.0000 0.0000 0.0000
Mg1 0.0000 0.0000 0.5000
# - Energy relative to the elements: 0.03 eV/atom
# - Relative energy among the computed polymorphs: 57 meV per atom